This record from the Alexandria database describes a relaxed structure of V2AgHO6. The functional is GGA+U.

Summary:
Its space-group type is C2/c, No. 15. The value obtained for the total magnetization is 0.000 Bohr magnetons per cell. Its calculated total energy is -130.1 eV/cell.

Lattice parameters (Å, degrees): 5.8574 7.5170 7.5170 88.22 77.07 77.07
With the nearest neighbours (Å) after each atom.
Fractional coordinates of all 20 atoms:
V  0.2267  0.3471  0.1717  4 O 1.65-1.81
O  0.5560  0.6961  0.6865  2 V 1.80-1.81
V  0.7267  0.1717  0.3471  4 O 1.65-1.81
H  0.7500  0.8893  0.1107  2 O 1.20
V  0.2733  0.8283  0.6529  4 O 1.65-1.81
O  0.3305  0.1922  0.9870  1 H 1.20
Ag  0.7500  0.1565  0.8435  4 O 2.29-2.41
O  0.3041  0.8986  0.4399  1 V 1.65
V  0.7733  0.6529  0.8283  4 O 1.65-1.81
O  0.1695  0.0130  0.8078  1 H 1.20
O  0.9440  0.3135  0.3039  2 V 1.80-1.81
O  0.1959  0.5601  0.1014  1 V 1.65
O  0.0560  0.6865  0.6961  2 V 1.80-1.81
H  0.2500  0.1107  0.8893  2 O 1.20
O  0.8041  0.4399  0.8986  1 V 1.65
O  0.6959  0.1014  0.5601  1 V 1.65
O  0.4440  0.3039  0.3135  2 V 1.80-1.81
O  0.6695  0.8078  0.0130  1 H 1.20
Ag  0.2500  0.8435  0.1565  4 O 2.29-2.41
O  0.8305  0.9870  0.1922  1 H 1.20